Material: LiLa6Ir4
Method: DFT, PBE
State: optimized geometry

Lattice parameters (Å, degrees): 5.9834 5.9834 8.9867 109.51 109.51 89.92
Closest atoms and distances in Å follow each position.
Fractional positions:
Li (0.9996, 0.9996, 0.9998)  4 Ir 2.70-2.71, 4 La 2.99
La (0.1047, 0.5315, 0.6361)  5 Ir 2.91-3.23
La (0.5315, 0.1047, 0.6361)  5 Ir 2.91-3.23
La (0.8950, 0.8950, 0.3635)  5 Ir 2.91-3.23
La (0.0008, 0.4999, 0.0001)  2 Li 2.99, 4 Ir 3.04-3.05
La (0.4685, 0.4685, 0.3640)  5 Ir 2.91-3.23
La (0.4999, 0.0008, 0.0001)  2 Li 2.99, 4 Ir 3.04-3.05
Ir (0.9392, 0.3303, 0.2698)  1 Li 2.70, 1 La 2.91
Ir (0.6698, 0.6698, 0.7304)  1 Li 2.70, 1 La 2.91
Ir (0.3303, 0.9392, 0.2698)  1 Li 2.70, 1 La 2.91
Ir (0.0609, 0.0609, 0.7300)  1 Li 2.71, 3 La 2.91-3.03

## Properties
Formation energy   -0.5575 eV/atom
DOS(E_F)   7.28 states/eV/cell


Material: Sc2Tc
Method: DFT, PBE
State: optimized geometry

Lattice parameters (Å, degrees): 6.4012 6.4012 6.4012 90.00 90.00 90.00
Closest atoms and distances in Å follow each position.
Fractional positions:
Sc (0.3322, 0.3322, 0.3322)  3 Tc 2.61
Sc (0.6678, 0.6678, 0.6678)  3 Tc 2.61
Sc (0.8322, 0.1678, 0.6678)  3 Tc 2.61
Sc (0.1678, 0.8322, 0.3322)  3 Tc 2.61
Sc (0.6678, 0.8322, 0.1678)  3 Tc 2.61
Sc (0.3322, 0.1678, 0.8322)  3 Tc 2.61
Sc (0.1678, 0.6678, 0.8322)  3 Tc 2.61
Sc (0.8322, 0.3322, 0.1678)  3 Tc 2.61
Tc (0.0000, 0.0000, 0.0000)  6 Sc 2.61
Tc (0.5000, 0.5000, 0.0000)  6 Sc 2.61
Tc (0.5000, 0.0000, 0.5000)  6 Sc 2.61
Tc (0.0000, 0.5000, 0.5000)  6 Sc 2.61

## Properties
Formation energy   0.1596 eV/atom
E above lowest polymorph   35.9 kJ per mole of atoms
DOS(E_F)   11.96 states/eV/cell


Material: ErSi3Os3
Method: DFT, PBE
State: optimized geometry

Lattice parameters (Å, degrees): 6.5150 6.5150 6.5150 90.00 90.00 90.00
Closest atoms and distances in Å follow each position.
Fractional positions:
Si (0.0000, 0.2500, 0.5000)  4 Os 2.30
Si (0.0000, 0.7500, 0.5000)  4 Os 2.30
Si (0.5000, 0.0000, 0.7500)  4 Os 2.30
Si (0.7500, 0.5000, 0.0000)  4 Os 2.30
Si (0.5000, 0.0000, 0.2500)  4 Os 2.30
Si (0.2500, 0.5000, 0.0000)  4 Os 2.30
Os (0.2500, 0.0000, 0.5000)  4 Si 2.30
Os (0.0000, 0.5000, 0.2500)  4 Si 2.30
Os (0.5000, 0.7500, 0.0000)  4 Si 2.30
Os (0.7500, 0.0000, 0.5000)  4 Si 2.30
Os (0.0000, 0.5000, 0.7500)  4 Si 2.30
Os (0.5000, 0.2500, 0.0000)  4 Si 2.30
Er (0.5000, 0.5000, 0.5000)  12 Os 3.64, 12 Si 3.64
Er (0.0000, 0.0000, 0.0000)  12 Os 3.64, 12 Si 3.64

## Properties
Energy relative to the elements, uncorrected   0.1290 eV per atom
E above lowest polymorph   32.5 kJ per mole of atoms
DOS(E_F)   5.17 states/eV/cell